A geometry-optimized Ba2ZrCdIn structure. Source: the Alexandria database, functional GGA-PBE.

Computed properties:
V: 216 Å³ per cell
uncorrected energy: -2.61 eV/atom

abc: 6.2345 5.5588 6.2345
angles: 90.00 90.00 90.00
Last column: nearest neighbours and their distance in Å.
Fractional coordinates of all 5 atoms:
In1 0.5000 0.5000 0.5000  8 Ba 4.18, 4 Cd 4.41
Cd1 0.0000 0.5000 0.0000  2 Zr 2.78
Ba1 0.5000 0.0000 0.0000  2 Zr 3.12
Ba2 0.0000 0.0000 0.5000  2 Zr 3.12
Zr1 0.0000 0.0000 0.0000  2 Cd 2.78